PBE-GGA Cr4S3N2, optimized geometry; volume = 13.1 Å³ per atom; spin magnetization = 0.507 μB per atom; ΔE_f (raw) = -0.387 eV/atom; final energy = -7.890 eV per atom
1.0
1.579 5.685 -0.053
-1.579 5.685 -0.053
0.000 5.300 6.518
Cr S N
4 3 2
Direct
0.161 0.161 0.649
0.839 0.839 0.351
0.269 0.269 0.115
0.731 0.731 0.885
0.000 0.000 0.000
0.409 0.409 0.772
0.591 0.591 0.228
0.240 0.240 0.371
0.760 0.760 0.629

---

PBE-GGA Cr2S2N, optimized geometry; volume = 13.0 Å³ per atom; spin magnetization = 0.646 μB per atom; energy above the most stable polymorph in this dataset = 162 meV/atom; ΔE_f (raw) = 0.756 eV/atom; final energy = -6.409 eV per atom
1.0
-3.733 -0.892 -5.405
-3.848 -4.228 3.356
-1.734 2.236 0.829
Cr S N
4 4 2
Direct
0.149 0.649 0.500
0.649 0.851 0.500
0.851 0.351 0.500
0.351 0.149 0.500
0.355 0.855 0.000
0.855 0.645 0.000
0.645 0.145 0.000
0.145 0.355 0.000
0.000 0.000 0.000
0.500 0.500 0.000

---

PBE-GGA ScCrS2N, optimized geometry; volume = 19.5 Å³ per atom; spin magnetization = 0.425 μB per atom; energy above the most stable polymorph in this dataset = 1205 meV/atom; ΔE_f (raw) = 0.629 eV/atom; final energy = -5.878 eV per atom
1.0
4.918 0.000 0.000
0.000 4.918 0.000
0.000 0.000 4.025
Sc Cr S N
1 1 2 1
Direct
0.000 0.000 0.000
0.500 0.500 0.500
0.000 0.500 0.000
0.500 0.000 0.000
0.000 0.000 0.500